## w
A geometry-optimized Ba6Dy2Al4O15 structure, computed with PBEsol.

Unit cell a=14.6559 b=5.8615 c=5.8615 alpha=60.31 beta=90.00 gamma=90.00
Fractional positions:
Ba 0.0000 0.0000 0.0000
Ba 0.1537 0.3157 0.3157
Ba 0.3270 0.6296 0.6296
Ba 0.5000 0.9412 0.9412
Ba 0.6730 0.6296 0.6296
Ba 0.8463 0.3157 0.3157
Dy 0.2501 0.9703 0.9703
Dy 0.7499 0.9703 0.9703
Al 0.1123 0.6476 0.6476
Al 0.3870 0.2961 0.2961
Al 0.6130 0.2961 0.2961
Al 0.8877 0.6476 0.6476
O 0.0000 0.2449 0.2449
O 0.0000 0.5893 0.5893
O 0.1426 0.8165 0.8165
O 0.1739 0.3435 0.8119
O 0.1739 0.8119 0.3435
O 0.3371 0.1133 0.6097
O 0.3371 0.6097 0.1133
O 0.3722 0.1227 0.1227
O 0.5000 0.3576 0.3576
O 0.6278 0.1227 0.1227
O 0.6629 0.1133 0.6097
O 0.6629 0.6097 0.1133
O 0.8261 0.3435 0.8119
O 0.8261 0.8119 0.3435
O 0.8574 0.8165 0.8165

Values from the calculation:
Spin magnetization ... 0.004 μB per atom
Fermi-level density of states ... 0.000 states/eV/atom

## x
A geometry-optimized Ba6Dy2Al4O15 structure, computed with PBEsol.

Unit cell a=7.8273 b=5.8921 c=18.2991 alpha=90.00 beta=91.61 gamma=90.00
Fractional positions:
Ba 0.0000 0.1761 0.2500
Ba 0.0000 0.8239 0.7500
Ba 0.0009 0.2547 0.9189
Ba 0.0009 0.7453 0.4189
Ba 0.4715 0.2478 0.9102
Ba 0.4715 0.7522 0.4102
Ba 0.5000 0.2259 0.2500
Ba 0.5000 0.7741 0.7500
Ba 0.5285 0.2478 0.5898
Ba 0.5285 0.7522 0.0898
Ba 0.9991 0.2547 0.5811
Ba 0.9991 0.7453 0.0811
Dy 0.2529 0.2493 0.0897
Dy 0.2529 0.7507 0.5897
Dy 0.7471 0.2493 0.4103
Dy 0.7471 0.7507 0.9103
Al 0.2528 0.2472 0.4433
Al 0.2528 0.7528 0.9433
Al 0.2776 0.2681 0.7324
Al 0.2776 0.7319 0.2324
Al 0.7224 0.2681 0.7676
Al 0.7224 0.7319 0.2676
Al 0.7472 0.2472 0.0567
Al 0.7472 0.7528 0.5567
O 0.0377 0.2543 0.4082
O 0.0377 0.7457 0.9082
O 0.1917 0.1742 0.8136
O 0.1917 0.8258 0.3136
O 0.2271 0.4724 0.1888
O 0.2271 0.5276 0.6888
O 0.2547 0.0476 0.6659
O 0.2547 0.9524 0.1659
O 0.2644 0.4842 0.5048
O 0.2644 0.5158 0.0048
O 0.2647 0.0029 0.9981
O 0.2647 0.9971 0.4981
O 0.4460 0.2628 0.3934
O 0.4460 0.7372 0.8934
O 0.5000 0.2929 0.7500
O 0.5000 0.7071 0.2500
O 0.5540 0.2628 0.1066
O 0.5540 0.7372 0.6066
O 0.7353 0.0029 0.5019
O 0.7353 0.9971 0.0019
O 0.7356 0.4842 0.9952
O 0.7356 0.5158 0.4952
O 0.7453 0.0476 0.8341
O 0.7453 0.9524 0.3341
O 0.7729 0.4724 0.3112
O 0.7729 0.5276 0.8112
O 0.8083 0.1742 0.6864
O 0.8083 0.8258 0.1864
O 0.9623 0.2543 0.0918
O 0.9623 0.7457 0.5918

Values from the calculation:
Spin magnetization ... 0.000 μB per atom
Fermi-level density of states ... 0.000 states/eV/atom

It turns out x is the most stable, with the second structure 40 meV/atom higher.

## w
A geometry-optimized BaAlF5 structure, computed with PBEsol.

Unit cell a=5.2414 b=9.6794 c=7.3754 alpha=90.00 beta=91.14 gamma=90.00
Fractional positions:
Ba 0.0138 0.0000 0.3864
Ba 0.4831 0.3438 0.1412
Ba 0.5169 0.8438 0.8588
Ba 0.9862 0.5000 0.6136
Al 0.0198 0.6288 0.0752
Al 0.4713 0.2334 0.6304
Al 0.5287 0.7334 0.3696
Al 0.9802 0.1288 0.9248
F 0.0153 0.7570 0.9001
F 0.0549 0.5128 0.2600
F 0.1950 0.2451 0.7938
F 0.2320 0.5287 0.9406
F 0.2441 0.2507 0.4459
F 0.2504 0.0470 0.0295
F 0.2747 0.7323 0.5287
F 0.3022 0.7273 0.1724
F 0.4321 0.0523 0.6374
F 0.4890 0.4160 0.6564
F 0.5110 0.9160 0.3436
F 0.5679 0.5523 0.3626
F 0.6978 0.2273 0.8276
F 0.7253 0.2323 0.4713
F 0.7496 0.5470 0.9705
F 0.7559 0.7507 0.5541
F 0.7680 0.0287 0.0594
F 0.8050 0.7451 0.2062
F 0.9451 0.0128 0.7400
F 0.9847 0.2570 0.0999

Values from the calculation:
Spin magnetization ... 0.000 μB per atom
Fermi-level density of states ... 0.000 states/eV/atom

## x
A geometry-optimized BaAlF5 structure, computed with PBEsol.

Unit cell a=4.9212 b=5.5852 c=13.6919 alpha=90.00 beta=90.00 gamma=90.00
Fractional positions:
Ba 0.2264 0.1581 0.3429
Ba 0.2736 0.8419 0.8429
Ba 0.7264 0.3419 0.6571
Ba 0.7736 0.6581 0.1571
Al 0.1857 0.1505 0.0850
Al 0.3143 0.8495 0.5850
Al 0.6857 0.3495 0.9150
Al 0.8143 0.6505 0.4150
F 0.0255 0.8422 0.4979
F 0.0607 0.8945 0.0219
F 0.0965 0.6476 0.3293
F 0.1355 0.0418 0.6686
F 0.1989 0.5865 0.6470
F 0.3011 0.4135 0.1470
F 0.3645 0.9582 0.1686
F 0.4035 0.3524 0.8293
F 0.4393 0.1055 0.5219
F 0.4745 0.1578 0.9979
F 0.5255 0.6578 0.5021
F 0.5607 0.6055 0.9781
F 0.5965 0.8524 0.6707
F 0.6355 0.4582 0.3314
F 0.6989 0.9135 0.3530
F 0.8011 0.0865 0.8530
F 0.8645 0.5418 0.8314
F 0.9035 0.1476 0.1707
F 0.9393 0.3945 0.4781
F 0.9745 0.3422 0.0021

Values from the calculation:
Spin magnetization ... 0.007 μB per atom
Fermi-level density of states ... 0.000 states/eV/atom

It turns out x is the most stable, with the second structure 12 meV/atom higher.

## w
A geometry-optimized Ba2AlIn structure, computed with PBEsol.

Unit cell a=6.4714 b=6.4714 c=6.4714 alpha=140.37 beta=127.52 gamma=67.71
Fractional positions:
Ba 0.0000 0.0000 0.0000
Ba 0.6884 0.1884 0.5000
Al 0.2651 0.7651 0.5000
In 0.4168 0.4168 0.0000

Values from the calculation:
Spin magnetization ... 0.000 μB per atom
Fermi-level density of states ... 0.875 states/eV/atom

## x
A geometry-optimized Ba2AlIn structure, computed with PBEsol.

Unit cell a=5.8466 b=5.8466 c=5.8466 alpha=60.00 beta=60.00 gamma=60.00
Fractional positions:
Ba 0.2500 0.2500 0.2500
Ba 0.7500 0.7500 0.7500
Al 0.0000 0.0000 0.0000
In 0.5000 0.5000 0.5000

Values from the calculation:
Spin magnetization ... 0.000 μB per atom
Fermi-level density of states ... 0.860 states/eV/atom

It turns out w is the most stable, with the second structure 70 meV/atom higher.

## w
A geometry-optimized BaAl2Mo structure, computed with PBEsol.

Unit cell a=5.3690 b=5.3690 c=2.8600 alpha=90.00 beta=90.00 gamma=90.00
Fractional positions:
Ba 0.0000 0.0000 0.0000
Al 0.0000 0.5000 0.5000
Al 0.5000 0.0000 0.5000
Mo 0.5000 0.5000 0.0000

Values from the calculation:
Spin magnetization ... 0.007 μB per atom
Fermi-level density of states ... 0.840 states/eV/atom

## x
A geometry-optimized BaAl2Mo structure, computed with PBEsol.

Unit cell a=4.8642 b=4.8642 c=4.8642 alpha=119.89 beta=119.89 gamma=90.20
Fractional positions:
Ba 0.0000 0.0000 0.0000
Al 0.2500 0.7500 0.5000
Al 0.5000 0.5000 0.0000
Mo 0.7500 0.2500 0.5000

Values from the calculation:
Spin magnetization ... 0.004 μB per atom
Fermi-level density of states ... 1.559 states/eV/atom

It turns out w is the most stable, with the second structure 122 meV/atom higher.

## w
A geometry-optimized Ba2AlP structure, computed with PBEsol.

Unit cell a=6.4755 b=6.4755 c=6.4755 alpha=144.48 beta=132.63 gamma=60.59
Fractional positions:
Ba 0.0000 0.0000 0.0000
Ba 0.7069 0.2069 0.5000
Al 0.4146 0.4146 0.0000
P 0.2790 0.7790 0.5000

Values from the calculation:
Spin magnetization ... 0.000 μB per atom
Fermi-level density of states ... 0.513 states/eV/atom

## x
A geometry-optimized Ba2AlP structure, computed with PBEsol.

Unit cell a=5.8744 b=5.8744 c=5.8744 alpha=128.41 beta=128.41 gamma=75.96
Fractional positions:
Ba 0.2500 0.7500 0.5000
Ba 0.7500 0.2500 0.5000
Al 0.0000 0.0000 0.0000
P 0.5000 0.5000 0.0000

Values from the calculation:
Spin magnetization ... 0.000 μB per atom
Fermi-level density of states ... 0.673 states/eV/atom

## y
A geometry-optimized Ba2AlP structure, computed with PBEsol.

Unit cell a=4.5672 b=4.5672 c=6.6926 alpha=90.00 beta=90.00 gamma=90.00
Fractional positions:
Ba 0.0000 0.0000 0.0000
Ba 0.5000 0.5000 0.4224
Al 0.5000 0.5000 0.8853
P 0.0000 0.0000 0.5302

Values from the calculation:
Spin magnetization ... 0.001 μB per atom
Fermi-level density of states ... 1.093 states/eV/atom

It turns out w is the most stable, with the second structure 272 meV/atom higher.

## w
A geometry-optimized Ba2AlPb structure, computed with PBEsol.

Unit cell a=6.3979 b=6.3979 c=6.3979 alpha=133.35 beta=133.35 gamma=68.10
Fractional positions:
Ba 0.0000 0.0000 0.0000
Ba 0.7500 0.2500 0.5000
Al 0.2500 0.7500 0.5000
Pb 0.5000 0.5000 0.0000

Values from the calculation:
Spin magnetization ... 0.001 μB per atom
Fermi-level density of states ... 1.306 states/eV/atom

## x
A geometry-optimized Ba2AlPb structure, computed with PBEsol.

Unit cell a=4.6612 b=6.9053 c=6.9053 alpha=43.53 beta=90.00 gamma=90.00
Fractional positions:
Ba 0.0000 0.0000 0.0000
Ba 0.5000 0.2815 0.2815
Al 0.5000 0.5762 0.5762
Pb 0.0000 0.7082 0.7082

Values from the calculation:
Spin magnetization ... 0.002 μB per atom
Fermi-level density of states ... 0.884 states/eV/atom

It turns out x is the most stable, with the second structure 214 meV/atom higher.